(1)
The following is a DFT calculation (PBE-GGA) of a geometry-optimized La2TbNd3As6 structure.

Energy of formation from the pure elements ... -1.529 eV/atom
Size of the total moment ... 0.0 μB per cell
SG ... No. 12

Cell and atoms, written as extended XYZ:
```
12
Lattice="-2.721 -1.952 2.680 -2.932 -4.800 -6.473 8.397 -4.115 2.097" Properties=species:S:1:pos:R:3 pbc="T T T"
La 1.389 -7.594 -0.689
La 1.355 -3.273 -1.008
Tb -1.361 -0.976 1.340
Nd -2.826 -3.376 -1.897
Nd 2.842 -5.163 2.558
Nd -0.098 -5.704 -4.254
As 2.024 -7.839 -3.654
As -0.745 -5.475 -1.312
As 0.719 -3.028 1.957
As 4.941 -7.221 3.190
As -2.197 -3.646 -4.886
As 3.489 -5.392 -0.384
```

***

(2)
The following is a DFT calculation (PBE-GGA) of a geometry-optimized Li2CuRh structure.

Energy of formation from the pure elements ... -0.005 eV/atom
Excess energy over the best structure of this formula in the dataset ... 124 meV per atom
Size of the total moment ... 0.0 μB per cell
SG ... No. 123

Cell and atoms, written as extended XYZ:
```
4
Lattice="-0.648 -2.959 -0.174 2.760 -0.537 -1.141 1.954 -0.726 5.065" Properties=species:S:1:pos:R:3 pbc="T T T"
Cu 2.521 -2.292 3.141
Li 0.004 -0.001 0.010
Li 0.973 -0.361 2.523
Rh 1.544 -1.930 0.608
```

***

(3)
The following is a DFT calculation (PBE-GGA) of a geometry-optimized KPaGa2Cl8 structure.

Formation energy without anion corrections ... -1.506 eV per atom
Size of the total moment ... 0.0 μB per cell
SG ... No. 2

Cell and atoms, written as extended XYZ:
```
12
Lattice="-4.840 -2.526 4.423 -0.024 -5.905 -3.826 6.619 -3.454 5.235" Properties=species:S:1:pos:R:3 pbc="T T T"
K 3.309 -1.727 2.617
Pa 0.000 0.000 0.000
Ga 2.288 -6.677 4.033
Ga -0.533 -5.209 1.799
Cl 0.677 -5.683 -1.350
Cl 3.233 -9.912 5.247
Cl -2.853 -4.135 4.065
Cl 1.078 -6.202 7.182
Cl -1.478 -1.973 0.585
Cl 4.607 -7.751 1.766
Cl 0.151 -7.554 2.777
Cl 1.604 -4.331 3.055
```

***

(4)
The following is a DFT calculation (PBE-GGA) of a geometry-optimized Cu3RhCl2F6 structure.

Formation energy without anion corrections ... -1.190 eV per atom
Size of the total moment ... 2.1 μB per cell
SG ... No. 12

Cell and atoms, written as extended XYZ:
```
12
Lattice="4.748 0.000 0.301 0.000 5.936 0.000 -0.304 -2.968 6.258" Properties=species:S:1:pos:R:3 pbc="T T T"
Cu 0.000 2.968 0.000
Cu 2.222 1.484 3.279
Cu 2.222 -1.484 3.279
Rh 2.374 0.000 0.151
Cl 0.802 2.968 2.452
Cl 3.642 0.000 4.107
F 3.499 1.475 0.948
F 0.945 1.492 5.611
F 2.966 2.968 4.624
F 1.478 0.000 1.935
F 0.945 -1.492 5.611
F 3.499 4.460 0.948
```

***

(5)
The following is a DFT calculation (PBE-GGA) of a geometry-optimized LaPm2Pu structure.

Energy of formation from the pure elements ... 0.120 eV/atom
Excess energy over the best structure of this formula in the dataset ... 0 meV per atom
Size of the total moment ... 6.3 μB per cell
SG ... No. 123

Cell and atoms, written as extended XYZ:
```
4
Lattice="3.600 0.000 0.000 0.000 3.600 0.000 0.000 0.000 10.261" Properties=species:S:1:pos:R:3 pbc="T T T"
Pm 0.000 0.000 7.554
Pm 0.000 0.000 2.706
La 1.800 1.800 0.000
Pu 1.800 1.800 5.130
```

***

(6)
The following is a DFT calculation (PBE-GGA) of a geometry-optimized ScTlCuCl5 structure.

Formation energy without anion corrections ... -1.415 eV per atom
Size of the total moment ... 0.3 μB per cell
SG ... No. 15

Cell and atoms, written as extended XYZ:
```
16
Lattice="-3.378 4.562 4.472 -4.370 -5.692 -0.853 7.226 -3.465 5.327" Properties=species:S:1:pos:R:3 pbc="T T T"
Sc 3.613 -1.732 2.663
Sc 0.000 0.000 0.000
Tl -2.223 -3.042 2.305
Tl 1.701 -1.553 6.641
Cu -1.877 0.533 4.161
Cu 1.355 -5.127 4.785
Cl -2.499 -5.888 0.827
Cl 1.976 1.293 8.119
Cl -3.605 2.067 4.291
Cl 3.083 -6.661 4.655
Cl 0.067 1.242 5.196
Cl -0.589 -5.837 3.750
Cl -2.311 -1.579 5.133
Cl 1.789 -3.015 3.813
Cl -1.694 0.066 1.850
Cl 1.171 -4.660 7.096
```

***

(7)
The following is a DFT calculation (PBE-GGA) of a geometry-optimized LiYSe structure.

Formation energy without anion corrections ... -0.847 eV per atom
Excess energy over the best structure of this formula in the dataset ... 244 meV per atom
Size of the total moment ... 0.0 μB per cell
SG ... No. 216

Cell and atoms, written as extended XYZ:
```
3
Lattice="4.612 0.000 0.000 2.306 3.994 0.000 2.306 1.331 3.765" Properties=species:S:1:pos:R:3 pbc="T T T"
Li 4.612 2.662 1.883
Se 2.306 1.331 0.941
Y 0.000 0.000 0.000
```

***

(8)
The following is a DFT calculation (PBE-GGA) of a geometry-optimized Ag3Pb structure.

Energy of formation from the pure elements ... 0.109 eV/atom
Size of the total moment ... 0.0 μB per cell
SG ... No. 25

Cell and atoms, written as extended XYZ:
```
4
Lattice="-2.723 1.372 -1.062 -2.611 -3.207 2.553 0.033 3.305 4.185" Properties=species:S:1:pos:R:3 pbc="T T T"
Pb -1.295 -0.504 2.668
Ag 0.032 3.248 4.113
Ag -1.344 2.394 1.632
Ag -2.639 1.840 4.238
```

***

(9)
The following is a DFT calculation (PBE-GGA) of a geometry-optimized MnCu2Ag structure.

Energy of formation from the pure elements ... 0.236 eV/atom
Excess energy over the best structure of this formula in the dataset ... 88 meV per atom
Size of the total moment ... 3.7 μB per cell
SG ... No. 160

Cell and atoms, written as extended XYZ:
```
4
Lattice="8.731 -0.008 -0.005 8.295 2.726 -0.005 8.295 1.324 2.383" Properties=species:S:1:pos:R:3 pbc="T T T"
Ag 18.942 3.024 1.775
Cu 25.180 4.019 2.360
Cu 6.373 1.017 0.597
Mn 12.806 2.044 1.200
```

***

(10)
The following is a DFT calculation (PBE-GGA) of a geometry-optimized PAuSN2 structure.

Formation energy without anion corrections ... 1.965 eV per atom
Excess energy over the best structure of this formula in the dataset ... 1138 meV per atom
Size of the total moment ... 4.2 μB per cell
SG ... No. 123

Cell and atoms, written as extended XYZ:
```
5
Lattice="-2.995 0.054 -2.410 0.531 -3.734 -0.743 -4.992 -1.936 6.161" Properties=species:S:1:pos:R:3 pbc="T T T"
P -3.728 -2.808 1.504
S -2.496 -0.968 3.080
Au 0.000 0.000 0.000
N 0.266 -1.867 -0.372
N -1.497 0.027 -1.205
```

***

(11)
The following is a DFT calculation (PBE-GGA) of a geometry-optimized BeOs2 structure.

Energy of formation from the pure elements ... 0.309 eV/atom
Size of the total moment ... 0.0 μB per cell
SG ... No. 141

Cell and atoms, written as extended XYZ:
```
6
Lattice="2.237 -1.153 10.163 -0.786 -3.525 9.827 0.465 0.883 -10.422" Properties=species:S:1:pos:R:3 pbc="T T T"
Be 0.000 0.000 0.000
Be 1.714 -1.304 4.868
Os 0.830 -2.677 11.439
Os 0.097 -2.153 3.256
Os 0.621 -2.001 8.551
Os 0.307 -2.828 6.144
```

***

(12)
The following is a DFT calculation (PBE-GGA) of a geometry-optimized Na3Sm2BiO6 structure.

Formation energy without anion corrections ... -2.239 eV per atom
Size of the total moment ... 0.0 μB per cell
SG ... No. 12

Cell and atoms, written as extended XYZ:
```
12
Lattice="-0.151 0.200 -6.114 -4.107 -3.355 3.052 -2.048 5.509 1.253" Properties=species:S:1:pos:R:3 pbc="T T T"
Na -4.483 -0.018 2.177
Na -1.823 2.372 -3.985
Na -3.153 1.177 -0.904
Sm -2.789 -2.171 -0.002
Sm -1.469 -0.984 -3.060
Bi 0.000 0.000 0.000
O -4.146 2.520 -2.899
O -3.571 -1.097 -1.967
O -2.160 -0.166 1.090
O -5.494 1.309 0.223
O -2.735 3.451 0.158
O -0.812 1.045 -2.032
```

***

(13)
The following is a DFT calculation (PBE-GGA) of a geometry-optimized LaCuSe2N structure.

Formation energy without anion corrections ... -0.331 eV per atom
Excess energy over the best structure of this formula in the dataset ... 0 meV per atom
Size of the total moment ... 1.8 μB per cell
SG ... No. 123

Cell and atoms, written as extended XYZ:
```
5
Lattice="-2.176 -3.317 3.117 3.713 0.705 3.342 -2.014 2.857 1.634" Properties=species:S:1:pos:R:3 pbc="T T T"
N -1.007 1.429 0.817
Cu 0.000 0.000 0.000
Se 1.856 0.353 1.671
Se -1.088 -1.658 1.559
La -0.238 0.123 4.047
```

***

(14)
The following is a DFT calculation (PBE-GGA) of a geometry-optimized RbReAg2Br8 structure.

Formation energy without anion corrections ... -0.521 eV per atom
Size of the total moment ... 2.3 μB per cell
SG ... No. 2

Cell and atoms, written as extended XYZ:
```
12
Lattice="6.673 -0.329 0.059 -0.244 7.068 1.760 0.499 2.481 9.526" Properties=species:S:1:pos:R:3 pbc="T T T"
Rb 0.250 1.241 4.763
Re 0.000 0.000 0.000
Ag 3.665 3.849 7.208
Ag 3.263 5.371 4.137
Br 0.434 5.756 3.826
Br 4.284 5.426 1.684
Br 5.584 1.388 1.498
Br 6.493 3.463 7.519
Br 2.643 3.793 9.661
Br 1.344 7.831 9.848
Br 3.377 6.456 6.529
Br 3.551 2.764 4.817
```

***

(15)
The following is a DFT calculation (PBE-GGA) of a geometry-optimized Ac4LaTl3 structure.

Energy of formation from the pure elements ... -0.200 eV/atom
Size of the total moment ... 2.8 μB per cell
SG ... No. 51

Cell and atoms, written as extended XYZ:
```
16
Lattice="-0.641 -4.956 -3.366 7.383 0.968 -2.831 4.339 -6.694 9.028" Properties=species:S:1:pos:R:3 pbc="T T T"
Ac 5.275 -1.745 -3.829
Ac 7.445 -5.092 0.685
Ac 1.467 -2.244 -2.368
Ac 3.636 -5.591 2.146
Ac 8.848 -4.336 4.590
Ac 6.050 -5.846 -3.223
Ac 2.233 -6.346 -1.759
Ac 5.031 -4.836 6.054
Tl 0.000 0.000 0.000
Tl 2.169 -3.347 4.514
Tl 2.926 -7.558 5.048
Tl 0.772 -4.092 0.614
Tl 6.617 -7.079 3.629
Tl 4.464 -3.603 -0.798
La 3.692 0.484 -1.415
La 5.861 -2.863 3.099
```

***

(16)
The following is a DFT calculation (PBE-GGA) of a geometry-optimized Tm7Mg2Sc structure.

Energy of formation from the pure elements ... 0.597 eV/atom
Size of the total moment ... 0.0 μB per cell
SG ... No. 65

Cell and atoms, written as extended XYZ:
```
10
Lattice="4.937 0.000 0.000 0.000 9.264 -0.560 0.000 -4.679 8.015" Properties=species:S:1:pos:R:3 pbc="T T T"
Tm 0.000 6.442 1.176
Tm 0.000 -1.857 6.279
Tm 2.468 -0.671 2.272
Tm 2.468 5.256 5.183
Tm 2.468 2.331 0.426
Tm 2.468 2.254 7.029
Tm 2.468 2.292 3.728
Mg 2.468 5.030 2.044
Mg 2.468 -0.445 5.411
Sc 0.000 0.000 0.000
```

***

(17)
The following is a DFT calculation (PBE-GGA) of a geometry-optimized BiCSeN2 structure.

Formation energy without anion corrections ... 2.847 eV per atom
Excess energy over the best structure of this formula in the dataset ... 721 meV per atom
Size of the total moment ... 1.5 μB per cell
SG ... No. 123

Cell and atoms, written as extended XYZ:
```
5
Lattice="4.282 0.000 0.000 0.000 4.282 0.000 0.000 0.000 5.873" Properties=species:S:1:pos:R:3 pbc="T T T"
C 2.141 2.141 2.936
Bi 0.000 0.000 0.000
Se 0.000 0.000 2.936
N 0.000 2.141 0.000
N 2.141 0.000 0.000
```

***

(18)
The following is a DFT calculation (PBE-GGA) of a geometry-optimized IrAu3 structure.

Energy of formation from the pure elements ... 0.257 eV/atom
Size of the total moment ... 0.1 μB per cell
SG ... No. 65

Cell and atoms, written as extended XYZ:
```
4
Lattice="2.836 -0.014 0.000 -1.419 2.455 0.000 0.000 0.000 9.983" Properties=species:S:1:pos:R:3 pbc="T T T"
Au 0.000 0.000 0.073
Au 0.000 0.000 4.918
Au 0.708 1.221 7.487
Ir 0.708 1.221 2.496
```

***

(19)
The following is a DFT calculation (PBE-GGA) of a geometry-optimized AcCd4Pd2 structure.

Energy of formation from the pure elements ... -0.425 eV/atom
Excess energy over the best structure of this formula in the dataset ... 59 meV per atom
Size of the total moment ... 0.0 μB per cell
SG ... No. 65

Cell and atoms, written as extended XYZ:
```
7
Lattice="-4.044 0.101 1.361 1.334 -1.060 4.043 0.190 8.950 -0.097" Properties=species:S:1:pos:R:3 pbc="T T T"
Ac 0.000 0.000 0.000
Cd -0.805 4.925 3.938
Cd 0.981 2.553 2.726
Cd -1.715 3.066 1.370
Cd 0.543 5.337 1.220
Pd -1.223 0.821 2.999
Pd -1.297 7.170 2.308
```

***

(20)
The following is a DFT calculation (PBE-GGA) of a geometry-optimized InSn2Pb2 structure.

Energy of formation from the pure elements ... 0.080 eV/atom
Excess energy over the best structure of this formula in the dataset ... 40 meV per atom
Size of the total moment ... 0.0 μB per cell
SG ... No. 15

Cell and atoms, written as extended XYZ:
```
10
Lattice="8.639 0.057 1.764 -1.739 8.463 1.764 -1.753 -2.164 3.362" Properties=species:S:1:pos:R:3 pbc="T T T"
In -1.299 7.210 2.604
In 6.446 -0.855 4.285
Sn 2.105 4.453 2.604
Sn 5.628 1.600 2.604
Sn -0.481 4.755 4.285
Sn 3.042 1.902 4.285
Pb 5.363 4.436 4.316
Pb 2.799 1.270 0.893
Pb 2.349 5.086 5.997
Pb -0.216 1.919 2.574
```